[1]
VASP calculation (PBE-GGA) on crystalline BMoPd2I at its relaxed geometry.

The structure in CIF format:
```
data_BMoPd2I
_chemical_formula_sum 'B1 Mo1 Pd2 I1'
_cell_length_a 4.946
_cell_length_b 5.252
_cell_length_c 4.946
_cell_angle_alpha 90.00
_cell_angle_beta 90.00
_cell_angle_gamma 90.00
_space_group_name_H-M_alt 'P 1'
_space_group_IT_number 1
loop_
_space_group_symop_operation_xyz
'x,y,z'
loop_
_atom_site_label
_atom_site_fract_x
_atom_site_fract_y
_atom_site_fract_z
I1 0.000 0.000 0.000
Mo1 0.000 0.500 0.000
B1 0.500 0.500 0.500
Pd1 0.500 0.000 0.000
Pd2 0.000 0.000 0.500
```

Output
V ... 25.70 A^3/atom
Energy relative to the elements, uncorrected ... 10.10 eV per formula unit

[2]
VASP calculation (PBE-GGA) on crystalline Rb2BMoI6 at its relaxed geometry.

The structure in CIF format:
```
data_Rb2BMoI6
_chemical_formula_sum 'Rb2 B1 Mo1 I6'
_cell_length_a 8.105
_cell_length_b 8.105
_cell_length_c 8.095
_cell_angle_alpha 59.96
_cell_angle_beta 59.96
_cell_angle_gamma 90.00
_space_group_name_H-M_alt 'P 1'
_space_group_IT_number 1
loop_
_space_group_symop_operation_xyz
'x,y,z'
loop_
_atom_site_label
_atom_site_fract_x
_atom_site_fract_y
_atom_site_fract_z
B1 0.500 0.500 0.000
I1 0.752 0.752 0.000
Mo1 0.000 0.000 0.000
I2 0.248 0.248 0.000
Rb1 0.250 0.750 0.500
I3 0.752 0.752 0.497
I4 0.752 0.248 0.000
I5 0.248 0.752 0.000
I6 0.248 0.248 0.503
Rb2 0.750 0.250 0.500
```

Output
V ... 37.56 A^3/atom
Energy relative to the elements, uncorrected ... -2.81 eV per formula unit

[3]
VASP calculation (PBE-GGA) on crystalline Rb2BMoI at its relaxed geometry.

The structure in CIF format:
```
data_Rb2BMoI
_chemical_formula_sum 'Rb2 B1 Mo1 I1'
_cell_length_a 6.607
_cell_length_b 4.182
_cell_length_c 6.607
_cell_angle_alpha 90.00
_cell_angle_beta 90.00
_cell_angle_gamma 90.00
_space_group_name_H-M_alt 'P 1'
_space_group_IT_number 1
loop_
_space_group_symop_operation_xyz
'x,y,z'
loop_
_atom_site_label
_atom_site_fract_x
_atom_site_fract_y
_atom_site_fract_z
Rb1 0.500 0.000 0.000
B1 0.000 0.000 0.000
I1 0.500 0.500 0.500
Mo1 0.000 0.500 0.000
Rb2 0.000 0.000 0.500
```

Output
V ... 36.51 A^3/atom
Energy relative to the elements, uncorrected ... 2.38 eV per formula unit

[4]
VASP calculation (PBE-GGA) on crystalline Re2BMoI at its relaxed geometry.

The structure in CIF format:
```
data_Re2BMoI
_chemical_formula_sum 'Re2 B1 Mo1 I1'
_cell_length_a 4.858
_cell_length_b 4.159
_cell_length_c 4.858
_cell_angle_alpha 90.00
_cell_angle_beta 90.00
_cell_angle_gamma 90.00
_space_group_name_H-M_alt 'P 1'
_space_group_IT_number 1
loop_
_space_group_symop_operation_xyz
'x,y,z'
loop_
_atom_site_label
_atom_site_fract_x
_atom_site_fract_y
_atom_site_fract_z
Re1 0.000 0.000 0.500
Mo1 0.000 0.000 0.000
Re2 0.500 0.000 0.000
I1 0.500 0.500 0.500
B1 0.000 0.500 0.000
```

Output
V ... 19.63 A^3/atom
Energy relative to the elements, uncorrected ... 10.45 eV per formula unit

[5]
VASP calculation (PBE-GGA) on crystalline BSb2MoI at its relaxed geometry.

The structure in CIF format:
```
data_BSb2MoI
_chemical_formula_sum 'B1 Sb2 Mo1 I1'
_cell_length_a 5.152
_cell_length_b 5.152
_cell_length_c 5.928
_cell_angle_alpha 90.00
_cell_angle_beta 90.00
_cell_angle_gamma 90.00
_space_group_name_H-M_alt 'P 1'
_space_group_IT_number 1
loop_
_space_group_symop_operation_xyz
'x,y,z'
loop_
_atom_site_label
_atom_site_fract_x
_atom_site_fract_y
_atom_site_fract_z
Mo1 0.000 0.000 0.000
I1 0.000 0.000 0.500
Sb1 0.500 0.000 0.000
Sb2 0.000 0.500 0.000
B1 0.500 0.500 0.500
```

Output
V ... 31.47 A^3/atom
Energy relative to the elements, uncorrected ... 7.05 eV per formula unit

[6]
VASP calculation (PBE-GGA) on crystalline BSb2MoI at its relaxed geometry.

The structure in CIF format:
```
data_BSb2MoI
_chemical_formula_sum 'B1 Sb2 Mo1 I1'
_cell_length_a 4.775
_cell_length_b 4.775
_cell_length_c 4.946
_cell_angle_alpha 90.00
_cell_angle_beta 90.00
_cell_angle_gamma 90.00
_space_group_name_H-M_alt 'P 1'
_space_group_IT_number 1
loop_
_space_group_symop_operation_xyz
'x,y,z'
loop_
_atom_site_label
_atom_site_fract_x
_atom_site_fract_y
_atom_site_fract_z
Mo1 0.500 0.500 0.500
Sb1 0.000 0.500 0.000
B1 0.000 0.000 0.000
Sb2 0.500 0.000 0.000
I1 0.000 0.000 0.500
```

Output
V ... 22.55 A^3/atom
Energy relative to the elements, uncorrected ... 6.50 eV per formula unit

[7]
VASP calculation (PBE-GGA) on crystalline BSbMoI2 at its relaxed geometry.

The structure in CIF format:
```
data_BSbMoI2
_chemical_formula_sum 'B1 Sb1 Mo1 I2'
_cell_length_a 5.636
_cell_length_b 5.636
_cell_length_c 5.253
_cell_angle_alpha 90.00
_cell_angle_beta 90.00
_cell_angle_gamma 90.00
_space_group_name_H-M_alt 'P 1'
_space_group_IT_number 1
loop_
_space_group_symop_operation_xyz
'x,y,z'
loop_
_atom_site_label
_atom_site_fract_x
_atom_site_fract_y
_atom_site_fract_z
Mo1 0.000 0.000 0.000
I1 0.000 0.500 0.000
B1 0.500 0.500 0.500
I2 0.500 0.000 0.000
Sb1 0.000 0.000 0.500
```

Output
V ... 33.37 A^3/atom
Energy relative to the elements, uncorrected ... 7.08 eV per formula unit

[8]
VASP calculation (PBE-GGA) on crystalline BSbMoI2 at its relaxed geometry.

The structure in CIF format:
```
data_BSbMoI2
_chemical_formula_sum 'B1 Sb1 Mo1 I2'
_cell_length_a 4.965
_cell_length_b 4.965
_cell_length_c 5.020
_cell_angle_alpha 90.00
_cell_angle_beta 90.00
_cell_angle_gamma 90.00
_space_group_name_H-M_alt 'P 1'
_space_group_IT_number 1
loop_
_space_group_symop_operation_xyz
'x,y,z'
loop_
_atom_site_label
_atom_site_fract_x
_atom_site_fract_y
_atom_site_fract_z
I1 0.000 0.500 0.000
Sb1 0.000 0.000 0.500
I2 0.500 0.000 0.000
Mo1 0.500 0.500 0.500
B1 0.000 0.000 0.000
```

Output
V ... 24.75 A^3/atom
Energy relative to the elements, uncorrected ... 6.95 eV per formula unit

[9]
VASP calculation (PBE-GGA) on crystalline Sc2BMoI at its relaxed geometry.

The structure in CIF format:
```
data_Sc2BMoI
_chemical_formula_sum 'Sc2 B1 Mo1 I1'
_cell_length_a 5.077
_cell_length_b 5.084
_cell_length_c 5.077
_cell_angle_alpha 90.00
_cell_angle_beta 90.00
_cell_angle_gamma 90.00
_space_group_name_H-M_alt 'P 1'
_space_group_IT_number 1
loop_
_space_group_symop_operation_xyz
'x,y,z'
loop_
_atom_site_label
_atom_site_fract_x
_atom_site_fract_y
_atom_site_fract_z
Sc1 0.500 0.000 0.000
Sc2 0.000 0.000 0.500
Mo1 0.000 0.000 0.000
I1 0.000 0.500 0.000
B1 0.500 0.500 0.500
```

Output
V ... 26.21 A^3/atom
Energy relative to the elements, uncorrected ... 6.84 eV per formula unit

[10]
VASP calculation (PBE-GGA) on crystalline BTe2MoI at its relaxed geometry.

The structure in CIF format:
```
data_BTe2MoI
_chemical_formula_sum 'B1 Te2 Mo1 I1'
_cell_length_a 4.904
_cell_length_b 4.904
_cell_length_c 4.913
_cell_angle_alpha 90.00
_cell_angle_beta 90.00
_cell_angle_gamma 90.00
_space_group_name_H-M_alt 'P 1'
_space_group_IT_number 1
loop_
_space_group_symop_operation_xyz
'x,y,z'
loop_
_atom_site_label
_atom_site_fract_x
_atom_site_fract_y
_atom_site_fract_z
Te1 0.000 0.500 0.000
B1 0.000 0.000 0.000
I1 0.000 0.000 0.500
Mo1 0.500 0.500 0.500
Te2 0.500 0.000 0.000
```

Output
V ... 23.63 A^3/atom
Energy relative to the elements, uncorrected ... 6.15 eV per formula unit

[11]
VASP calculation (PBE-GGA) on crystalline BTeMo2I at its relaxed geometry.

The structure in CIF format:
```
data_BTeMo2I
_chemical_formula_sum 'B1 Te1 Mo2 I1'
_cell_length_a 4.525
_cell_length_b 4.535
_cell_length_c 4.525
_cell_angle_alpha 90.00
_cell_angle_beta 90.00
_cell_angle_gamma 90.00
_space_group_name_H-M_alt 'P 1'
_space_group_IT_number 1
loop_
_space_group_symop_operation_xyz
'x,y,z'
loop_
_atom_site_label
_atom_site_fract_x
_atom_site_fract_y
_atom_site_fract_z
Mo1 0.500 0.000 0.000
Mo2 0.000 0.000 0.500
B1 0.000 0.000 0.000
I1 0.000 0.500 0.000
Te1 0.500 0.500 0.500
```

Output
V ... 18.57 A^3/atom
Energy relative to the elements, uncorrected ... 6.08 eV per formula unit

[12]
VASP calculation (PBE-GGA) on crystalline BTe2MoI at its relaxed geometry.

The structure in CIF format:
```
data_BTe2MoI
_chemical_formula_sum 'B1 Te2 Mo1 I1'
_cell_length_a 5.229
_cell_length_b 5.229
_cell_length_c 5.834
_cell_angle_alpha 90.00
_cell_angle_beta 90.00
_cell_angle_gamma 90.00
_space_group_name_H-M_alt 'P 1'
_space_group_IT_number 1
loop_
_space_group_symop_operation_xyz
'x,y,z'
loop_
_atom_site_label
_atom_site_fract_x
_atom_site_fract_y
_atom_site_fract_z
I1 0.000 0.000 0.500
Te1 0.000 0.500 0.000
Mo1 0.000 0.000 0.000
Te2 0.500 0.000 0.000
B1 0.500 0.500 0.500
```

Output
V ... 31.90 A^3/atom
Energy relative to the elements, uncorrected ... 6.51 eV per formula unit

[13]
VASP calculation (PBE-GGA) on crystalline B3IN at its relaxed geometry.

The structure in CIF format:
```
data_B3IN
_chemical_formula_sum 'B3 I1 N1'
_cell_length_a 3.786
_cell_length_b 3.786
_cell_length_c 3.786
_cell_angle_alpha 90.00
_cell_angle_beta 90.00
_cell_angle_gamma 90.00
_space_group_name_H-M_alt 'P 1'
_space_group_IT_number 1
loop_
_space_group_symop_operation_xyz
'x,y,z'
loop_
_atom_site_label
_atom_site_fract_x
_atom_site_fract_y
_atom_site_fract_z
B1 0.000 0.500 0.000
N1 0.000 0.000 0.000
I1 0.500 0.500 0.500
B2 0.000 0.000 0.500
B3 0.500 0.000 0.000
```

Output
V ... 10.86 A^3/atom
Energy relative to the elements, uncorrected ... 11.47 eV per formula unit

[14]
VASP calculation (PBE-GGA) on crystalline BIN2 at its relaxed geometry.

The structure in CIF format:
```
data_BIN2
_chemical_formula_sum 'B1 I1 N2'
_cell_length_a 6.388
_cell_length_b 6.388
_cell_length_c 6.388
_cell_angle_alpha 30.82
_cell_angle_beta 30.82
_cell_angle_gamma 30.82
_space_group_name_H-M_alt 'P 1'
_space_group_IT_number 1
loop_
_space_group_symop_operation_xyz
'x,y,z'
loop_
_atom_site_label
_atom_site_fract_x
_atom_site_fract_y
_atom_site_fract_z
N1 0.074 0.074 0.074
I1 0.500 0.500 0.500
N2 0.926 0.926 0.926
B1 0.000 0.000 0.000
```

Output
V ... 15.18 A^3/atom
Energy relative to the elements, uncorrected ... 4.90 eV per formula unit